Material: Co2ReTe
Method: DFT, PBE
State: optimized geometry

a = 4.581 Å, b = 4.581 Å, c = 2.878 Å
α = 90.01°, β = 90.01°, γ = 109.39°
Each line ends with the local moment (μB).
Positions (direct):
Co 0.000 0.000 0.000  0.32
Co 0.500 0.500 0.000  0.32
Re 0.500 0.000 0.500  0.05
Te 0.000 0.500 0.500  -0.01

Properties
**Calculated density**: 12.584 Mg/m³
**SG**: No. 65
**Calculated total energy**: -27.6 eV/f.u.
**Formation energy from raw total energies**: 0.540 eV/atom